1.
# Ga2HgC

An optimized crystal structure of Ga2HgC (PBE, Alexandria).

* energy of formation: 5.17 eV/f.u.
* offset from the most stable computed form: 858 meV per atom
* DOS(E_F): 2.70 states/eV/cell

Lattice parameters (Å, degrees): 4.6192 4.6192 4.6192 60.00 60.00 60.00
Fractional coordinates of all 4 atoms:
Ga  0.2500  0.2500  0.2500
Ga  0.7500  0.7500  0.7500
C  0.0000  0.0000  0.0000
Hg  0.5000  0.5000  0.5000


2.
# Ga2HgC

An optimized crystal structure of Ga2HgC (PBE, Alexandria).

* energy of formation: 1.74 eV/f.u.
* offset from the most stable computed form: 0 meV per atom
* DOS(E_F): 0.46 states/eV/cell

Lattice parameters (Å, degrees): 5.8448 5.8448 5.9733 60.71 60.71 90.00
Fractional coordinates of all 8 atoms:
Ga  0.8750  0.7665  0.7500
Ga  0.3750  0.4835  0.7500
Ga  0.5165  0.1250  0.2500
Ga  0.2335  0.6250  0.2500
C  0.2500  0.7500  0.5000
C  0.5000  0.5000  0.0000
Hg  0.7500  0.2500  0.5000
Hg  0.0000  0.0000  0.0000


3.
# GaHgC3

An optimized crystal structure of GaHgC3 (PBE, Alexandria).

* energy of formation: 16.98 eV/f.u.
* offset from the most stable computed form: 670 meV per atom
* DOS(E_F): 4.08 states/eV/cell

Lattice parameters (Å, degrees): 4.3618 4.3618 4.3618 90.00 90.00 90.00
Site moments in Bohr magnetons follow the coordinates.
Fractional coordinates of all 5 atoms:
C  0.0000  0.5000  0.0000  0.15
C  0.0000  0.0000  0.5000  0.12
C  0.5000  0.0000  0.0000  0.30
Ga  0.5000  0.5000  0.5000  0.01
Hg  0.0000  0.0000  0.0000  0.01


4.
# LaGaHg2C

An optimized crystal structure of LaGaHg2C (PBE, Alexandria).

* energy of formation: 2.91 eV/f.u.
* DOS(E_F): 2.76 states/eV/cell

Lattice parameters (Å, degrees): 6.0053 3.7976 6.0053 90.00 90.00 90.00
Fractional coordinates of all 5 atoms:
Hg  0.5000  0.0000  0.0000
Hg  0.0000  0.0000  0.5000
C  0.0000  0.5000  0.0000
Ga  0.0000  0.0000  0.0000
La  0.5000  0.5000  0.5000


5.
# NbGaHg2C

An optimized crystal structure of NbGaHg2C (PBE, Alexandria).

* energy of formation: 10.31 eV/f.u.
* offset from the most stable computed form: 1121 meV per atom
* DOS(E_F): 7.76 states/eV/cell

Lattice parameters (Å, degrees): 4.8751 5.0433 4.8751 90.00 90.00 90.00
Site moments in Bohr magnetons follow the coordinates.
Fractional coordinates of all 5 atoms:
Nb  0.0000  0.5000  0.0000  0.79
Hg  0.0000  0.0000  0.5000  0.00
Hg  0.5000  0.0000  0.0000  0.01
C  0.5000  0.5000  0.5000  0.32
Ga  0.0000  0.0000  0.0000  0.01


6.
# NbGaHg2C

An optimized crystal structure of NbGaHg2C (PBE, Alexandria).

* energy of formation: 4.71 eV/f.u.
* offset from the most stable computed form: 0 meV per atom
* DOS(E_F): 3.83 states/eV/cell

Lattice parameters (Å, degrees): 5.5796 4.0526 5.5796 90.00 90.00 90.00
Fractional coordinates of all 5 atoms:
Ga  0.5000  0.5000  0.5000
C  0.0000  0.5000  0.0000
Nb  0.0000  0.0000  0.0000
Hg  0.0000  0.0000  0.5000
Hg  0.5000  0.0000  0.0000